Density functional theory data (PBE-GGA) for a relaxed In4CuRu crystal.

Cell lengths 8.040, 8.040, 8.040 Å; angles 90.00, 90.00, 90.00 degrees
Space group F-43m (No. 216)
Symmetry-distinct sites (fractional):
In 0.125 0.125 0.125 (multiplicity 16)
Cu 0.000 0.000 0.500 (multiplicity 4)
Ru 0.250 0.250 0.750 (multiplicity 4)

Results
Calculated formation energy in eV per atom: 0.76
Energy in eV per atom: -3.2976

---

Density functional theory data (PBE-GGA) for a relaxed LiCd2Co2 crystal.

Cell lengths 7.688, 7.688, 2.840 Å; angles 90.00, 90.00, 90.00 degrees
Space group P4/mbm (No. 127)
Symmetry-distinct sites (fractional):
Li 0.000 0.000 0.000 (multiplicity 2)
Cd 0.189 0.311 0.500 (multiplicity 4)
Co 0.103 0.603 0.000 (multiplicity 4)

Results
Calculated formation energy in eV per atom: 0.22
Energy in eV per atom: -3.3663
Polymorph energy (0 for the lowest one) in meV/atom: 0.0

---

Density functional theory data (PBE-GGA) for a relaxed Pm8Pr5Al crystal.

Cell lengths 9.941, 9.941, 9.766 Å; angles 90.00, 90.00, 90.00 degrees
Space group I-4 (No. 82)
Symmetry-distinct sites (fractional):
Pm 0.062 0.159 0.293 (multiplicity 8)
Pm 0.098 0.289 0.974 (multiplicity 8)
Pr 0.000 0.500 0.250 (multiplicity 2)
Pr 0.100 0.289 0.637 (multiplicity 8)
Al 0.000 0.000 0.000 (multiplicity 2)

Results
Calculated formation energy in eV per atom: 0.19
Energy in eV per atom: -4.4977

---

Density functional theory data (PBE-GGA) for a relaxed Te7W crystal.

Cell lengths 9.478, 9.478, 9.478 Å; angles 90.00, 90.00, 90.00 degrees
Space group Fm-3m (No. 225)
Symmetry-distinct sites (fractional):
Te 0.000 0.000 0.000 (multiplicity 4)
Te 0.000 0.250 0.250 (multiplicity 24)
W 0.000 0.000 0.500 (multiplicity 4)

Results
Raw formation energy in meV/atom: 837.0
Energy in eV per atom: -3.5312

---

Density functional theory data (PBE-GGA) for a relaxed CaBeNi3 crystal.

Cell lengths 4.468, 4.468, 4.468 Å; angles 90.00, 90.00, 90.00 degrees
Space group Pm-3m (No. 221)
Symmetry-distinct sites (fractional):
Ca 0.000 0.000 0.000 (multiplicity 1)
Be 0.500 0.500 0.500 (multiplicity 1)
Ni 0.000 0.000 0.500 (multiplicity 3)

Results
Calculated formation energy in eV per atom: 1.73
Energy in eV per atom: -2.8867
Polymorph energy (0 for the lowest one) in meV/atom: 1760.5